# 1
A plane-wave DFT calculation with GGA-PBE was carried out for NdPd12Pb6 after structural relaxation.

abc: 7.692 7.692 7.692
angles: 104.81 104.81 104.81
Fractional positions:
Nd: 0.000 0.000 0.000
Pd: 0.886 0.114 0.500
Pd: 0.891 0.652 0.652
Pd: 0.652 0.652 0.891
Pd: 0.348 0.109 0.348
Pd: 0.348 0.348 0.109
Pd: 0.109 0.348 0.348
Pd: 0.114 0.500 0.886
Pd: 0.500 0.886 0.114
Pd: 0.114 0.886 0.500
Pd: 0.886 0.500 0.114
Pd: 0.500 0.114 0.886
Pd: 0.652 0.891 0.652
Pb: 0.693 0.278 0.278
Pb: 0.278 0.278 0.693
Pb: 0.278 0.693 0.278
Pb: 0.722 0.722 0.307
Pb: 0.307 0.722 0.722
Pb: 0.722 0.307 0.722

Properties
**DFT formation energy**: -0.20 eV per atom
**Final energy**: -4.904 eV/atom
**Symmetry**: R-3m


# 2
A plane-wave DFT calculation with GGA-PBE was carried out for TiV3N after structural relaxation.

abc: 3.980 3.980 3.980
angles: 90.00 90.00 90.00
Fractional positions:
N: 0.000 0.000 0.000
Ti: 0.500 0.500 0.500
V: 0.000 0.500 0.000
V: 0.000 0.000 0.500
V: 0.500 0.000 0.000

Properties
**Energy above the most stable polymorph in this dataset**: 24.6 meV per atom
**Final energy**: -9.260 eV/atom
**Symmetry**: Pm-3m
**Uncorrected formation energy**: -0.544 eV per atom


# 3
A plane-wave DFT calculation with GGA-PBE was carried out for ScReTcW after structural relaxation.

abc: 4.484 4.484 4.484
angles: 60.00 60.00 60.00
Fractional positions:
Sc: 0.000 0.000 0.000
Re: 0.250 0.250 0.250
Tc: 0.750 0.750 0.750
W: 0.500 0.500 0.500

Properties
**DFT formation energy**: -0.18 eV per atom
**Final energy**: -10.703 eV/atom
**Symmetry**: F-43m


# 4
A plane-wave DFT calculation with GGA-PBE was carried out for ScInBi3 after structural relaxation.

abc: 5.642 5.642 5.642
angles: 90.00 90.00 90.00
Fractional positions:
Sc: 0.000 0.000 0.000
Bi: 0.000 0.500 0.000
Bi: 0.000 0.000 0.500
Bi: 0.500 0.000 0.000
In: 0.500 0.500 0.500

Properties
**DFT formation energy**: 0.12 eV per atom
**Energy above the most stable polymorph in this dataset**: 0.0 meV per atom
**Final energy**: -4.020 eV/atom
**Symmetry**: Pm-3m


# 5
A plane-wave DFT calculation with GGA-PBE was carried out for Cr3Rh after structural relaxation.

abc: 2.561 2.561 8.119
angles: 90.00 90.00 111.26
Fractional positions:
Cr: 0.000 0.000 0.987
Cr: 0.000 0.000 0.513
Cr: 0.500 0.500 0.750
Rh: 0.500 0.500 0.250

Properties
**DFT formation energy**: 0.12 eV per atom
**Energy above the most stable polymorph in this dataset**: 76.2 meV per atom
**Final energy**: -8.936 eV/atom
**Symmetry**: Cmmm


# 6
A plane-wave DFT calculation with GGA-PBE was carried out for RbSb2Rh3 after structural relaxation.

abc: 4.103 8.444 10.050
angles: 113.38 101.79 104.06
Fractional positions:
Rb: 0.897 0.750 0.043
Rb: 0.103 0.250 0.957
Sb: 0.695 0.165 0.225
Sb: 0.305 0.835 0.775
Sb: 0.461 0.273 0.649
Sb: 0.539 0.727 0.351
Rh: 0.051 0.472 0.631
Rh: 0.769 0.084 0.453
Rh: 0.640 0.684 0.596
Rh: 0.360 0.316 0.404
Rh: 0.231 0.916 0.547
Rh: 0.949 0.528 0.369

Properties
**Final energy**: -5.573 eV/atom
**Symmetry**: C2/m
**Uncorrected formation energy**: -0.362 eV per atom


# 7
A plane-wave DFT calculation with GGA-PBE was carried out for K2MgGaSb2 after structural relaxation.

abc: 6.974 6.986 9.446
angles: 111.70 111.66 90.00
Fractional positions:
K: 0.430 0.170 0.341
K: 0.570 0.830 0.659
K: 0.089 0.330 0.659
K: 0.911 0.670 0.341
Mg: 0.000 0.750 0.000
Mg: 0.000 0.250 0.000
Ga: 0.500 0.750 0.000
Ga: 0.500 0.250 0.000
Sb: 0.848 0.098 0.197
Sb: 0.349 0.598 0.197
Sb: 0.651 0.402 0.803
Sb: 0.152 0.902 0.803

Properties
**Final energy**: -2.954 eV/atom
**Symmetry**: Ibam
**Uncorrected formation energy**: -0.444 eV per atom


# 8
A plane-wave DFT calculation with GGA-PBE was carried out for Cd3Ru after structural relaxation.

abc: 3.032 5.204 5.149
angles: 101.71 90.00 106.93
Site moments in Bohr magnetons follow the coordinates.
Fractional positions:
Cd: 0.010 0.021 0.015  0.00
Cd: 0.490 0.979 0.485  0.00
Cd: 0.250 0.500 0.750  -0.01
Ru: 0.750 0.500 0.250  0.88

Properties
**DFT formation energy**: 0.25 eV per atom
**Final energy**: -2.757 eV/atom
**Symmetry**: C2/m


# 9
A plane-wave DFT calculation with GGA-PBE was carried out for CsTi3Au after structural relaxation.

abc: 4.922 4.922 4.922
angles: 90.00 90.00 90.00
Site moments in Bohr magnetons follow the coordinates.
Fractional positions:
Cs: 0.000 0.000 0.000  0.08
Au: 0.500 0.500 0.500  0.05
Ti: 0.000 0.500 0.000  0.80
Ti: 0.000 0.000 0.500  0.76
Ti: 0.500 0.000 0.000  0.91

Properties
**DFT formation energy**: 1.94 eV per atom
**Energy above the most stable polymorph in this dataset**: 961.8 meV per atom
**Final energy**: -3.621 eV/atom
**Symmetry**: Pm-3m


# 10
A plane-wave DFT calculation with GGA-PBE was carried out for FeBrCl2 after structural relaxation.

abc: 6.759 6.759 6.776
angles: 61.43 61.43 27.38
Site moments in Bohr magnetons follow the coordinates.
Fractional positions:
Fe: 0.495 0.495 0.636  3.72
Br: 0.148 0.148 0.339  0.20
Cl: 0.998 0.998 0.899  0.25
Cl: 0.859 0.859 0.626  0.25

Properties
**Energy above the most stable polymorph in this dataset**: 97.4 meV per atom
**Final energy**: -3.993 eV/atom
**Symmetry**: Cm
**Uncorrected formation energy**: -0.536 eV per atom


# 11
A plane-wave DFT calculation with GGA-PBE was carried out for LiPr2H4 after structural relaxation.

abc: 3.715 3.715 6.921
angles: 74.43 74.43 90.00
Fractional positions:
Pr: 0.652 0.652 0.697
Pr: 0.348 0.348 0.303
H: 0.840 0.840 0.320
H: 0.160 0.160 0.680
H: 0.000 0.500 0.000
H: 0.500 0.000 0.000
Li: 0.000 0.000 0.000

Properties
**Final energy**: -3.967 eV/atom
**Symmetry**: I4/mmm


# 12
A plane-wave DFT calculation with GGA-PBE was carried out for ZnTe2Os after structural relaxation.

abc: 4.857 4.857 6.276
angles: 73.10 73.10 46.91
Fractional positions:
Os: 0.290 0.290 0.380
Te: 0.901 0.901 0.083
Te: 0.731 0.731 0.681
Zn: 0.577 0.577 0.356

Properties
**Final energy**: -4.444 eV/atom
**Symmetry**: Cm
**Uncorrected formation energy**: 0.252 eV per atom


| no. | D(E_F) (states/eV per cell) | V (Å³/cell) |
| --- | --- | --- |
| 1 | 7.92 | 399.4 |
| 2 | 5.20 | 63.0 |
| 3 | 2.99 | 63.8 |
| 4 | 3.87 | 179.6 |
| 5 | 4.49 | 49.6 |
| 6 | 5.10 | 291.8 |
| 7 | 3.05 | 392.4 |
| 8 | 2.51 | 75.9 |
| 9 | 4.50 | 119.2 |
| 10 | 0.43 | 124.0 |
| 11 | 2.64 | 88.4 |
| 12 | 2.34 | 102.5 |